[1]
VASP calculation (PBE) on a relaxed structure of Cu3ReF.

The value obtained for the uncorrected formation energy is 1387 meV per atom.

The structure belongs to space group Pm-3m (No. 221); the cell edges are 4.676, 4.676 and 4.676 Å and the angles 90.00°, 90.00° and 90.00°. The inequivalent atoms are Cu at (0.000, 0.000, 0.500), Re at (0.000, 0.000, 0.000) and F at (0.500, 0.500, 0.500).

[2]
VASP calculation (PBE) on a relaxed structure of Ga4SnO7.

The value obtained for the uncorrected formation energy is -1710 meV per atom.

The structure belongs to space group Pmn2_1 (No. 31); the cell edges are 13.182, 5.406 and 5.182 Å and the angles 90.00°, 90.00° and 90.00°. The inequivalent atoms are Ga at (0.120, 0.170, 0.000), Ga at (0.246, 0.679, 0.978), Sn at (0.000, 0.667, 0.663), O at (0.000, 0.322, 0.893), O at (0.121, 0.835, 0.907), O at (0.141, 0.189, 0.345) and O at (0.224, 0.359, 0.834).

[3]
VASP calculation (PBE) on a relaxed structure of NdErGa.

The value obtained for the calculated formation energy is -0.2322 eV per atom.

The structure belongs to space group F-43m (No. 216); the cell edges are 7.097, 7.097 and 7.097 Å and the angles 90.00°, 90.00° and 90.00°. The inequivalent atoms are Nd at (0.000, 0.000, 0.000), Er at (0.000, 0.000, 0.500) and Ga at (0.250, 0.250, 0.750).

[4]
VASP calculation (PBE) on a relaxed structure of BeCl2.

The value obtained for the uncorrected formation energy is -311 meV per atom.

The structure belongs to space group I4/mmm (No. 139); the cell edges are 3.012, 3.012 and 13.446 Å and the angles 90.00°, 90.00° and 90.00°. The inequivalent atoms are Be at (0.000, 0.000, 0.000) and Cl at (0.000, 0.000, 0.394).

[5]
VASP calculation (PBE) on a relaxed structure of Tb3Er4Pd4.

The value obtained for the calculated formation energy is -0.5837 eV per atom.

The structure belongs to space group Immm (No. 71); the cell edges are 4.618, 7.698 and 15.363 Å and the angles 90.00°, 90.00° and 90.00°. The inequivalent atoms are Tb at (0.000, 0.000, 0.000), Tb at (0.000, 0.500, 0.104), Er at (0.000, 0.288, 0.328), Pd at (0.000, 0.000, 0.208) and Pd at (0.000, 0.182, 0.500).

[6]
VASP calculation (PBE) on a relaxed structure of Ca4Tb3YTe8.

The value obtained for the uncorrected formation energy is -1468 meV per atom.

The structure belongs to space group R-3m (No. 166, hexagonal axes); the cell edges are 8.7918, 8.7918 and 22.0502 Å and the angles 90.00°, 90.00° and 120.00°. The inequivalent atoms are Ca at (0.0000, 0.0000, 0.0000), Ca at (0.0000, 0.5000, 0.0000), Tb at (0.0000, 0.5000, 0.5000), Y at (0.0000, 0.0000, 0.5000), Te at (0.0000, 0.0000, 0.2488) and Te at (0.0004, 0.5002, 0.2487).

Number 6 is which compound?
Ca4Tb3YTe8